Entry 1:
Computed, not measured: NpSnAu after structural relaxation at the PBE-GGA level of DFT.

Unit cell a=3.461 b=9.068 c=8.296 alpha=90.00 beta=90.00 gamma=90.00
Site moments in Bohr magnetons follow the coordinates.
Sites, in units of the cell vectors:
Au 0.750 0.363 0.832  0.00
Au 0.750 0.137 0.332  0.00
Au 0.250 0.637 0.168  0.00
Au 0.250 0.863 0.668  0.00
Np 0.250 0.409 0.496  0.47
Np 0.250 0.091 0.996  0.47
Np 0.750 0.591 0.504  0.47
Np 0.750 0.909 0.004  0.47
Sn 0.250 0.892 0.339  -0.01
Sn 0.750 0.392 0.161  -0.01
Sn 0.250 0.608 0.839  -0.01
Sn 0.750 0.108 0.661  -0.01

* ΔE_f: -0.20 eV per atom
* total magnetic moment: 0.45 μB/f.u.

***

Entry 2:
Computed, not measured: PrSmFe after structural relaxation at the PBE-GGA level of DFT.

Unit cell a=7.110 b=7.078 c=7.548 alpha=90.00 beta=90.00 gamma=120.15
Site moments in Bohr magnetons follow the coordinates.
Sites, in units of the cell vectors:
Fe 0.090 0.179 0.956  1.54
Fe 0.590 0.179 0.544  1.54
Fe 0.910 0.821 0.044  1.54
Fe 0.410 0.821 0.456  1.54
Sm 0.708 0.916 0.750  -0.19
Sm 0.208 0.916 0.750  -0.19
Sm 0.792 0.084 0.250  -0.19
Sm 0.292 0.084 0.250  -0.19
Pr 0.699 0.397 0.889  -0.12
Pr 0.199 0.397 0.611  -0.12
Pr 0.301 0.603 0.111  -0.12
Pr 0.801 0.603 0.389  -0.12

* ΔE_f: 0.14 eV per atom
* total magnetic moment: 0.95 μB/f.u.

***

Entry 3:
Computed, not measured: MnGaPt14 after structural relaxation at the PBE-GGA level of DFT.

Unit cell a=5.566 b=5.566 c=9.238 alpha=90.00 beta=90.00 gamma=119.60
Site moments in Bohr magnetons follow the coordinates.
Sites, in units of the cell vectors:
Pt 0.699 0.301 0.000  -0.12
Pt 0.198 0.802 0.000  0.02
Pt 0.699 0.800 0.000  0.01
Pt 0.200 0.301 0.000  0.01
Pt 0.872 0.625 0.263  0.08
Pt 0.375 0.128 0.737  0.08
Pt 0.057 0.446 0.500  0.11
Pt 0.374 0.626 0.251  0.04
Pt 0.872 0.625 0.737  0.08
Pt 0.876 0.124 0.253  0.05
Pt 0.876 0.124 0.747  0.05
Pt 0.375 0.128 0.263  0.08
Pt 0.554 0.943 0.500  0.11
Pt 0.374 0.626 0.749  0.04
Mn 0.048 0.952 0.500  3.76
Ga 0.551 0.449 0.500  -0.02

* ΔE_f: -0.16 eV per atom
* total magnetic moment: 4.53 μB/f.u.

***

Entry 4:
Computed, not measured: ScOsBr after structural relaxation at the PBE-GGA level of DFT.

Unit cell a=7.734 b=7.509 c=3.058 alpha=82.61 beta=74.31 gamma=23.08
Sites, in units of the cell vectors:
Br 0.970 0.970 0.030
Os 0.700 0.700 0.300
Sc 0.330 0.330 0.670

* ΔE_f (raw): 0.0903 eV/atom
* distance to the lowest polymorph of the same formula: 130 meV per atom
* total magnetic moment: 0.00 μB/f.u.

***

Entry 5:
Computed, not measured: Sm2HoMn after structural relaxation at the PBE-GGA level of DFT.

Unit cell a=3.591 b=3.591 c=8.750 alpha=90.00 beta=90.00 gamma=90.00
Site moments in Bohr magnetons follow the coordinates.
Sites, in units of the cell vectors:
Sm 0.000 0.000 0.792  -0.10
Sm 0.000 0.000 0.208  -0.10
Mn 0.500 0.500 0.000  3.56
Ho 0.500 0.500 0.500  0.37

* ΔE_f: 0.16 eV per atom
* total magnetic moment: 3.99 μB/f.u.

***

Entry 6:
Computed, not measured: AgRh2Pb after structural relaxation at the PBE-GGA level of DFT.

Unit cell a=5.677 b=5.677 c=5.677 alpha=148.78 beta=131.01 gamma=59.25
Sites, in units of the cell vectors:
Pb 0.767 0.267 0.500
Rh 0.006 0.006 0.000
Rh 0.233 0.733 0.500
Ag 0.495 0.495 0.000

* ΔE_f: 0.24 eV per atom
* total magnetic moment: 0.01 μB/f.u.

***

Entry 7:
Computed, not measured: YScAs2 after structural relaxation at the PBE-GGA level of DFT.

Unit cell a=5.927 b=5.927 c=4.180 alpha=89.99 beta=89.99 gamma=37.68
Sites, in units of the cell vectors:
As 0.252 0.252 0.375
As 0.009 0.009 0.875
Y 0.748 0.748 0.875
Sc 0.491 0.491 0.375

* ΔE_f: -1.22 eV per atom
* distance to the lowest polymorph of the same formula: 233 meV per atom
* total magnetic moment: 0.00 μB/f.u.

***

Entry 8:
Computed, not measured: TbEr2Tm after structural relaxation at the PBE-GGA level of DFT.

Unit cell a=5.602 b=5.602 c=5.602 alpha=60.00 beta=60.00 gamma=60.00
Sites, in units of the cell vectors:
Tm 0.500 0.500 0.500
Er 0.750 0.750 0.750
Er 0.250 0.250 0.250
Tb 0.000 0.000 0.000

* ΔE_f: 0.14 eV per atom
* distance to the lowest polymorph of the same formula: 142 meV per atom
* total magnetic moment: 0.00 μB/f.u.

***

Entry 9:
Computed, not measured: RbCu4Te3 after structural relaxation at the PBE-GGA level of DFT.

Unit cell a=4.226 b=4.226 c=10.945 alpha=90.00 beta=90.00 gamma=90.00
Sites, in units of the cell vectors:
Cu 0.000 0.500 0.845
Cu 0.500 0.000 0.845
Cu 0.000 0.500 0.155
Cu 0.500 0.000 0.155
Rb 0.000 0.000 0.500
Te 0.000 0.000 0.000
Te 0.500 0.500 0.294
Te 0.500 0.500 0.706

* ΔE_f (raw): -0.2481 eV/atom
* total magnetic moment: 0.00 μB/f.u.

***

Entry 10:
Computed, not measured: CoTcPt2 after structural relaxation at the PBE-GGA level of DFT.

Unit cell a=2.713 b=2.713 c=7.653 alpha=90.00 beta=90.00 gamma=90.00
Site moments in Bohr magnetons follow the coordinates.
Sites, in units of the cell vectors:
Pt 0.500 0.500 0.261  -0.01
Pt 0.000 0.000 0.980  0.06
Tc 0.000 0.000 0.521  -0.07
Co 0.500 0.500 0.737  0.94

* ΔE_f: -0.10 eV per atom
* distance to the lowest polymorph of the same formula: 6 meV per atom
* total magnetic moment: 0.91 μB/f.u.

***

Entry 11:
Computed, not measured: CsLaN2F after structural relaxation at the PBE-GGA level of DFT.

Unit cell a=4.506 b=4.506 c=4.793 alpha=90.00 beta=90.00 gamma=90.00
Sites, in units of the cell vectors:
N 0.500 0.000 0.000
N 0.000 0.500 0.000
Cs 0.000 0.000 0.000
La 0.500 0.500 0.500
F 0.000 0.000 0.500

* ΔE_f (raw): 0.4599 eV/atom
* total magnetic moment: 0.00 μB/f.u.

***

Entry 12:
Computed, not measured: Ce4Co2Au after structural relaxation at the PBE-GGA level of DFT.

Unit cell a=7.698 b=7.698 c=7.700 alpha=108.51 beta=108.48 gamma=111.43
Site moments in Bohr magnetons follow the coordinates.
Sites, in units of the cell vectors:
Au 0.000 0.000 0.000  0.00
Au 0.250 0.750 0.500  0.00
Ce 0.843 0.660 0.183  0.36
Ce 0.340 0.157 0.817  0.36
Ce 0.477 0.660 0.817  0.36
Ce 0.407 0.090 0.317  0.36
Ce 0.340 0.523 0.183  0.36
Ce 0.910 0.593 0.683  0.36
Ce 0.773 0.090 0.683  0.36
Ce 0.910 0.227 0.317  0.36
Co 0.125 0.375 0.750  -0.11
Co 0.625 0.375 0.750  -0.11
Co 0.625 0.375 0.250  -0.11
Co 0.625 0.875 0.250  -0.11

* ΔE_f: -0.19 eV per atom
* distance to the lowest polymorph of the same formula: 95 meV per atom
* total magnetic moment: 1.54 μB/f.u.

***

Q: total magnetic moment of number 6 (AgRh2Pb)?
A: 0.01 μB/f.u.

***

Q: What is the total magnetic moment in the first record?
A: 0.45 μB/f.u.

***

Please write out number 8 again, unchanged.
Computed, not measured: TbEr2Tm after structural relaxation at the PBE-GGA level of DFT.

Unit cell a=5.602 b=5.602 c=5.602 alpha=60.00 beta=60.00 gamma=60.00
Sites, in units of the cell vectors:
Tm 0.500 0.500 0.500
Er 0.750 0.750 0.750
Er 0.250 0.250 0.250
Tb 0.000 0.000 0.000

* ΔE_f: 0.14 eV per atom
* distance to the lowest polymorph of the same formula: 142 meV per atom
* total magnetic moment: 0.00 μB/f.u.